# BaReSi3

A geometry-optimized BaReSi3 structure (PBE, Alexandria via LeMat-Bulk).

a b c (Å): 5.191 5.191 5.191
angles (deg): 90.00 90.00 90.00
Space group Pm-3m (No. 221)
One atom of each set of equivalent atoms:
Ba (0.000, 0.000, 0.000)
Re (0.500, 0.500, 0.500)
Si (0.000, 0.000, 0.500)

Results
- distance to the lowest polymorph of the same formula (eV/atom) = 2.995
- formation energy from raw total energies (eV/atom) = 3.035
- magnetic moment (μB/cell) = 0.00
- uncorrected energy (Ry/atom) = -0.2274
- calculated density (Mg/m³) = 4.8